SmPaRh4: optimized geometry, GGA-PBE.

## Properties
- Fermi-level density of states (states/eV/cell) = 6.55
- calculated volume (Å³/cell) = 233.2
- formation energy from the elements (eV per atom) = -0.566
- energy above the most stable polymorph in this dataset (eV/atom) = 0.090

Cell: 5.3313 6.3511 8.0675 Å, 113.18 109.93 90.00°
Sites, in units of the cell vectors:
Sm 0.8743 0.8058 0.6115
Sm 0.1257 0.1942 0.3885
Pa 0.1854 0.4237 0.8475
Pa 0.8146 0.5763 0.1525
Rh 0.3008 0.7025 0.4050
Rh 0.4548 0.1024 0.7735
Rh 0.0000 0.2043 0.0000
Rh 0.5452 0.3289 0.2265
Rh 0.6992 0.2975 0.5950
Rh 0.5452 0.8976 0.2265
Rh 0.0000 0.7957 0.0000
Rh 0.4548 0.6711 0.7735